Compound: TlINO2
Source: Alexandria
Functional: PBE
Structure: relaxed

Cell and atoms, written as POSCAR:
```
TlINO2
1.0
-1.7879 3.8436 -0.2870
-3.8154 -1.8097 -0.4686
-0.5769 0.0639 4.4505
I O N Tl
1 2 1 1
Direct
0.5000 0.5000 0.5000
0.5000 0.0000 0.0000
0.0000 0.5000 0.0000
0.0000 0.0000 0.5000
0.0000 0.0000 0.0000
```

Summary:
For the formation energy from raw total energies, the calculation gives 1143 meV per atom. As for the total magnetization: 0.00 μB/atom. The value obtained for the total energy is -3.289 eV/atom. As for the space group: P4/mmm, No. 123. Its density of states at the Fermi level is 4.0 states/eV/f.u. The calculated volume is 81 Å³/f.u.